Entry 1:
Below is an optimized crystal structure of BaCaMn, with properties calculated at the PBE level.

Structure (CIF):
```
data_BaCaMn
_chemical_formula_sum 'Ba1 Ca1 Mn1'
_space_group_name_H-M_alt 'P 1'
_space_group_IT_number 1
_space_group_name_Hall 'P 1'
_cell_length_a 7.4239
_cell_length_b 7.4239
_cell_length_c 3.9784
_cell_angle_alpha 74.46
_cell_angle_beta 74.46
_cell_angle_gamma 31.08
loop_
_atom_site_label
_atom_site_fract_x
_atom_site_fract_y
_atom_site_fract_z
Mn1 0.6779 0.6779 0.3221
Ba1 0.0254 0.0254 0.9746
Ca1 0.2967 0.2967 0.7033
```

Values from the calculation:
Crystal system: tetragonal
Energy relative to the lowest polymorph listed for this composition: 0.0 kJ per mole of atoms
Formation enthalpy at 0 K: 407 meV per atom
Total energy: -3.958 eV/atom
Space-group type: I4mm

---

Entry 2:
Below is an optimized crystal structure of BaCa2Mn, with properties calculated at the PBE level.

Structure (CIF):
```
data_BaCa2Mn
_chemical_formula_sum 'Ba1 Ca2 Mn1'
_space_group_name_H-M_alt 'P 1'
_space_group_IT_number 1
_space_group_name_Hall 'P 1'
_cell_length_a 3.9900
_cell_length_b 3.9900
_cell_length_c 9.4748
_cell_angle_alpha 90.00
_cell_angle_beta 90.00
_cell_angle_gamma 90.00
loop_
_atom_site_label
_atom_site_fract_x
_atom_site_fract_y
_atom_site_fract_z
Ca1 0.5000 0.5000 0.3039
Ca2 0.0000 0.0000 0.0300
Ba1 0.5000 0.5000 0.6964
Mn1 0.0000 0.0000 0.4697
```

Values from the calculation:
Crystal system: tetragonal
Energy relative to the lowest polymorph listed for this composition: 0.5 kJ per mole of atoms
Formation enthalpy at 0 K: 305 meV per atom
Total energy: -3.469 eV/atom
Space-group type: P4mm

---

Entry 3:
Below is an optimized crystal structure of BaCa2Mn, with properties calculated at the PBE level.

Structure (CIF):
```
data_BaCa2Mn
_chemical_formula_sum 'Ba1 Ca2 Mn1'
_space_group_name_H-M_alt 'P 1'
_space_group_IT_number 1
_space_group_name_Hall 'P 1'
_cell_length_a 7.1696
_cell_length_b 7.1696
_cell_length_c 3.7435
_cell_angle_alpha 77.51
_cell_angle_beta 77.51
_cell_angle_gamma 119.35
loop_
_atom_site_label
_atom_site_fract_x
_atom_site_fract_y
_atom_site_fract_z
Ca1 0.0000 0.0000 0.0000
Ca2 0.5000 0.5000 0.0000
Ba1 0.0000 0.5000 0.5000
Mn1 0.5000 0.0000 0.5000
```

Values from the calculation:
Crystal system: monoclinic
Energy relative to the lowest polymorph listed for this composition: 18.2 kJ per mole of atoms
Formation enthalpy at 0 K: 489 meV per atom
Total energy: -3.285 eV/atom
Space-group type: C2/m